Entry from Alexandria: a relaxed structure of HoVSi (PBE).

Calculated values
- Fermi-level density of states (states/eV/f.u.) = 1.39
- energy relative to the elements, uncorrected (eV per atom) = -0.18
- spin magnetization (μB/atom) = 0.00

Geometry as extended XYZ:
```
3
Lattice="-1.6791 1.6791 4.9418 1.6791 -1.6791 4.9418 1.6791 1.6791 -4.9418" Properties=species:S:1:pos:R:3 pbc="T T T"
Ho 0.0000 0.0000 0.0000
V 0.0000 0.0000 6.9827
Si 0.0000 0.0000 2.8877
```